The following is a DFT calculation (PBE-GGA) of a relaxed structure of PuZrCu4.

## Properties
energy of formation from the pure elements	-0.009	eV per atom

```
data_PuZrCu4
_cell_length_a 7.2712
_cell_length_b 7.2712
_cell_length_c 7.2712
_cell_angle_alpha 90.00
_cell_angle_beta 90.00
_cell_angle_gamma 90.00
_symmetry_space_group_name_H-M 'F -4 3 m'
_symmetry_Int_Tables_number 216
_symmetry_space_group_name_Hall 'F -4 2 3'
loop_
_atom_site_label
_atom_site_type_symbol
_atom_site_fract_x
_atom_site_fract_y
_atom_site_fract_z
Pu1 Pu 0.0000 0.0000 0.0000
Zr1 Zr 0.2500 0.2500 0.7500
Cu1 Cu 0.1243 0.1243 0.3757
```

---

The following is a DFT calculation (PBE-GGA) of a relaxed structure of MnCdAu.

## Properties
energy of formation from the pure elements	0.172	eV per atom

```
data_MnCdAu
_cell_length_a 6.3863
_cell_length_b 6.3863
_cell_length_c 6.3863
_cell_angle_alpha 90.00
_cell_angle_beta 90.00
_cell_angle_gamma 90.00
_symmetry_space_group_name_H-M 'F -4 3 m'
_symmetry_Int_Tables_number 216
_symmetry_space_group_name_Hall 'F -4 2 3'
loop_
_atom_site_label
_atom_site_type_symbol
_atom_site_fract_x
_atom_site_fract_y
_atom_site_fract_z
Mn1 Mn 0.0000 0.0000 0.0000
Cd1 Cd 0.0000 0.0000 0.5000
Au1 Au 0.2500 0.2500 0.2500
```

---

The following is a DFT calculation (PBE-GGA) of a relaxed structure of CdIn6Hg8.

## Properties
energy above the lowest structure with this stoichiometry	9.4	meV per atom
energy of formation from the pure elements	0.038	eV per atom

```
data_CdIn6Hg8
_cell_length_a 9.4030
_cell_length_b 9.4030
_cell_length_c 16.9846
_cell_angle_alpha 90.00
_cell_angle_beta 90.00
_cell_angle_gamma 120.00
_symmetry_space_group_name_H-M 'R -3'
_symmetry_Int_Tables_number 148
_symmetry_space_group_name_Hall '-R 3'
loop_
_atom_site_label
_atom_site_type_symbol
_atom_site_fract_x
_atom_site_fract_y
_atom_site_fract_z
Cd1 Cd 0.0000 0.0000 0.0000
In1 In 0.0007 0.3223 0.3615
Hg1 Hg 0.0000 0.0000 0.3167
Hg2 Hg 0.0340 0.8024 0.1461
```

---

The following is a DFT calculation (PBE-GGA) of a relaxed structure of LaB4Mo.

## Properties
energy of formation from the pure elements	-0.490	eV per atom

```
data_LaB4Mo
_cell_length_a 6.1744
_cell_length_b 11.9600
_cell_length_c 3.7655
_cell_angle_alpha 90.00
_cell_angle_beta 90.00
_cell_angle_gamma 90.00
_symmetry_space_group_name_H-M 'P b a m'
_symmetry_Int_Tables_number 55
loop_
_symmetry_equiv_pos_as_xyz
'x,y,z'
'-x,-y,-z'
'-x,-y,z'
'x,y,-z'
'x+1/2,-y+1/2,-z'
'-x+1/2,y+1/2,z'
'-x+1/2,y+1/2,-z'
'x+1/2,-y+1/2,z'
loop_
_atom_site_label
_atom_site_type_symbol
_atom_site_fract_x
_atom_site_fract_y
_atom_site_fract_z
La1 La 0.1238 0.1509 0.0000
B1 B 0.0239 0.6888 0.5000
B2 B 0.1114 0.5456 0.5000
B3 B 0.1402 0.9674 0.5000
B4 B 0.2225 0.8176 0.5000
Mo1 Mo 0.1259 0.4183 0.0000
```

---

The following is a DFT calculation (PBE-GGA) of a relaxed structure of TaV2Sb.

## Properties
uncorrected formation energy	0.585	eV per atom

```
data_TaV2Sb
_cell_length_a 3.9448
_cell_length_b 3.9448
_cell_length_c 18.8665
_cell_angle_alpha 90.00
_cell_angle_beta 90.00
_cell_angle_gamma 90.00
_symmetry_space_group_name_H-M 'I -4 2 d'
_symmetry_Int_Tables_number 122
_symmetry_space_group_name_Hall 'I -4 2bw'
loop_
_atom_site_label
_atom_site_type_symbol
_atom_site_fract_x
_atom_site_fract_y
_atom_site_fract_z
Ta1 Ta 0.0000 0.0000 0.0000
V1 V 0.2382 0.2500 0.6250
Sb1 Sb 0.0000 0.0000 0.5000
```

---

The following is a DFT calculation (PBE-GGA) of a relaxed structure of MnBeSi.

## Properties
uncorrected formation energy	0.090	eV per atom

```
data_MnBeSi
_cell_length_a 2.5845
_cell_length_b 2.5845
_cell_length_c 5.7545
_cell_angle_alpha 90.00
_cell_angle_beta 90.00
_cell_angle_gamma 120.00
_symmetry_space_group_name_H-M 'P 3 m 1'
_symmetry_Int_Tables_number 156
loop_
_symmetry_equiv_pos_as_xyz
'x,y,z'
'-y,x-y,z'
'-x+y,-x,z'
'-y,-x,z'
'-x+y,y,z'
'x,x-y,z'
loop_
_atom_site_label
_atom_site_type_symbol
_atom_site_fract_x
_atom_site_fract_y
_atom_site_fract_z
Mn1 Mn 0.0000 0.0000 0.0000
Be1 Be 0.3333 0.6667 0.6788
Si1 Si 0.6667 0.3333 0.3365
```

---

The following is a DFT calculation (PBE-GGA) of a relaxed structure of TaIBr3.

## Properties
uncorrected formation energy	-0.778	eV per atom
energy above the lowest structure with this stoichiometry	0.0	meV per atom

```
data_TaIBr3
_cell_length_a 7.4504
_cell_length_b 9.0891
_cell_length_c 10.9126
_cell_angle_alpha 90.00
_cell_angle_beta 90.00
_cell_angle_gamma 90.00
_symmetry_space_group_name_H-M 'I m m m'
_symmetry_Int_Tables_number 71
_symmetry_space_group_name_Hall '-I 2 2'
loop_
_atom_site_label
_atom_site_type_symbol
_atom_site_fract_x
_atom_site_fract_y
_atom_site_fract_z
Ta1 Ta 0.2079 0.0000 0.0000
I1 I 0.0000 0.5000 0.3222
Br1 Br 0.0000 0.0000 0.1904
Br2 Br 0.2387 0.2715 0.0000
```

---

The following is a DFT calculation (PBE-GGA) of a relaxed structure of La4MnFe.

## Properties
energy of formation from the pure elements	0.911	eV per atom

```
data_La4MnFe
_cell_length_a 9.0325
_cell_length_b 9.0325
_cell_length_c 9.0325
_cell_angle_alpha 90.00
_cell_angle_beta 90.00
_cell_angle_gamma 90.00
_symmetry_space_group_name_H-M 'F -4 3 m'
_symmetry_Int_Tables_number 216
_symmetry_space_group_name_Hall 'F -4 2 3'
loop_
_atom_site_label
_atom_site_type_symbol
_atom_site_fract_x
_atom_site_fract_y
_atom_site_fract_z
La1 La 0.1252 0.1252 0.1252
Mn1 Mn 0.2500 0.2500 0.7500
Fe1 Fe 0.0000 0.0000 0.5000
```

---

The following is a DFT calculation (PBE-GGA) of a relaxed structure of NaGeSb2.

## Properties
uncorrected formation energy	0.016	eV per atom

```
data_NaGeSb2
_cell_length_a 3.8474
_cell_length_b 3.8474
_cell_length_c 25.5052
_cell_angle_alpha 90.00
_cell_angle_beta 90.00
_cell_angle_gamma 120.00
_symmetry_space_group_name_H-M 'R 3 m'
_symmetry_Int_Tables_number 160
_symmetry_space_group_name_Hall 'R 3 -2"'
loop_
_atom_site_label
_atom_site_type_symbol
_atom_site_fract_x
_atom_site_fract_y
_atom_site_fract_z
Na1 Na 0.0000 0.0000 0.0000
Ge1 Ge 0.0000 0.0000 0.1663
Sb1 Sb 0.0000 0.0000 0.5699
Sb2 Sb 0.0000 0.0000 0.7636
```

---

The following is a DFT calculation (PBE-GGA) of a relaxed structure of Zn3Rh5.

## Properties
energy above the lowest structure with this stoichiometry	0.0	meV per atom
energy of formation from the pure elements	-0.203	eV per atom

```
data_Zn3Rh5
_cell_length_a 6.1685
_cell_length_b 8.5330
_cell_length_c 4.2694
_cell_angle_alpha 90.00
_cell_angle_beta 90.00
_cell_angle_gamma 90.00
_symmetry_space_group_name_H-M 'C m m m'
_symmetry_Int_Tables_number 65
_symmetry_space_group_name_Hall '-C 2 2'
loop_
_atom_site_label
_atom_site_type_symbol
_atom_site_fract_x
_atom_site_fract_y
_atom_site_fract_z
Zn1 Zn 0.0000 0.0000 0.0000
Zn2 Zn 0.0000 0.2603 0.5000
Rh1 Rh 0.0000 0.5000 0.0000
Rh2 Rh 0.2376 0.0000 0.5000
Rh3 Rh 0.2500 0.2500 0.0000
```

---

The following is a DFT calculation (PBE-GGA) of a relaxed structure of LaMoBr2.

## Properties
uncorrected formation energy	-0.194	eV per atom
energy above the lowest structure with this stoichiometry	247.7	meV per atom

```
data_LaMoBr2
_cell_length_a 3.4610
_cell_length_b 4.4821
_cell_length_c 13.8737
_cell_angle_alpha 90.00
_cell_angle_beta 90.00
_cell_angle_gamma 90.00
_symmetry_space_group_name_H-M 'I m m 2'
_symmetry_Int_Tables_number 44
loop_
_symmetry_equiv_pos_as_xyz
'x,y,z'
'-x,-y,z'
'-x,y,z'
'x,-y,z'
'x+1/2,y+1/2,z+1/2'
'-x+1/2,-y+1/2,z+1/2'
'-x+1/2,y+1/2,z+1/2'
'x+1/2,-y+1/2,z+1/2'
loop_
_atom_site_label
_atom_site_type_symbol
_atom_site_fract_x
_atom_site_fract_y
_atom_site_fract_z
La1 La 0.0000 0.0000 0.0000
Mo1 Mo 0.0000 0.5000 0.6736
Br1 Br 0.0000 0.0000 0.3933
Br2 Br 0.0000 0.5000 0.1609
```

---

The following is a DFT calculation (PBE-GGA) of a relaxed structure of Ta2SiPF.

## Properties
uncorrected formation energy	0.629	eV per atom

```
data_Ta2SiPF
_cell_length_a 4.6223
_cell_length_b 4.6223
_cell_length_c 4.3659
_cell_angle_alpha 90.00
_cell_angle_beta 90.00
_cell_angle_gamma 90.00
_symmetry_space_group_name_H-M 'P 4/m m m'
_symmetry_Int_Tables_number 123
_symmetry_space_group_name_Hall '-P 4 2'
loop_
_atom_site_label
_atom_site_type_symbol
_atom_site_fract_x
_atom_site_fract_y
_atom_site_fract_z
Ta1 Ta 0.0000 0.5000 0.0000
Si1 Si 0.0000 0.0000 0.5000
P1 P 0.0000 0.0000 0.0000
F1 F 0.5000 0.5000 0.5000
```

---

Number 1: theoretical density 10.18 g cm⁻³, magnetic moment 5.431 μB/f.u.. Number 2: theoretical density 9.29 g cm⁻³, magnetic moment 4.102 μB/f.u.. Number 3: theoretical density 9.22 g cm⁻³, magnetic moment 0.000 μB/f.u.. Number 4: theoretical density 6.64 g cm⁻³, magnetic moment 0.000 μB/f.u.. Number 5: theoretical density 9.15 g cm⁻³, magnetic moment 0.000 μB/f.u.. Number 6: theoretical density 4.59 g cm⁻³, magnetic moment 1.449 μB/f.u.. Number 7: theoretical density 4.92 g cm⁻³, magnetic moment 0.000 μB/f.u.. Number 8: theoretical density 6.01 g cm⁻³, magnetic moment 1.707 μB/f.u.. Number 9: theoretical density 5.17 g cm⁻³, magnetic moment 0.000 μB/f.u.. Number 10: theoretical density 10.50 g cm⁻³, magnetic moment 0.001 μB/f.u.. Number 11: theoretical density 6.09 g cm⁻³, magnetic moment 1.939 μB/f.u.. Number 12: theoretical density 7.83 g cm⁻³, magnetic moment 0.000 μB/f.u..